12
Lattice="5.1731 0.0000 0.0000 0.0000 6.8205 0.0000 0.0000 0.0000 10.1576" Properties=species:S:1:pos:R:3 comment="PBE-GGA LaTbHo2Tl2, relaxed" formation_enthalpy_0k_ev_per_atom=-0.27 total_energy_ev_per_atom=-4.18 pbc="T T T"
Ho 2.5865 0.3562 0.4442
Ho 0.0000 5.7031 8.3266
Ho 2.5865 3.7664 9.7134
Ho 0.0000 2.2929 1.8310
Tl 0.0000 2.0396 8.8396
Tl 2.5865 1.5070 3.6239
Tl 0.0000 5.4498 1.3180
Tl 2.5865 4.9172 6.5336
Tb 2.5865 4.6555 3.0916
Tb 2.5865 1.2452 7.0659
La 0.0000 6.5111 4.6441
La 0.0000 3.1009 5.5134

7
Lattice="5.0227 0.0000 0.0000 -2.5114 3.8517 4.1083 0.0000 1.1624 12.7889" Properties=species:S:1:pos:R:3 comment="PBE-GGA LaTb2Ho2Tm2, relaxed" formation_enthalpy_0k_ev_per_atom=0.03 total_energy_ev_per_atom=-4.58 pbc="T T T"
Ho 2.5114 1.2852 8.8259
Ho 0.0000 3.7289 8.0713
Tb 0.0000 2.3077 3.2519
Tb 2.5114 2.7064 13.6452
La 0.0000 0.5812 6.3945
Tm 2.5114 3.0276 5.6777
Tm 0.0000 1.9866 11.2195

12
Lattice="-2.4762 -4.2531 -3.7435 4.9361 3.2382 -1.8392 6.1818 -7.7457 6.4085" Properties=species:S:1:pos:R:3 comment="PBE-GGA La2Tb3Ho6Tm, relaxed" formation_enthalpy_0k_ev_per_atom=0.02 total_energy_ev_per_atom=-4.62 pbc="T T T"
La -0.0028 -1.7533 -3.1080
La 2.4627 0.7385 -2.4746
Tb 1.8490 -6.8784 -0.2221
Tb 4.3208 -4.3803 0.4129
Tb 6.7927 -1.8821 1.0479
Ho 7.6894 -5.3023 0.9187
Ho 5.2303 -7.7876 0.2869
Ho 0.9523 -3.4582 -0.0929
Ho 5.2221 -6.0323 3.4037
Ho 3.4114 -0.9729 0.5389
Ho 3.4196 -2.7282 -2.5779
Tm 0.0000 0.0000 0.0000

12
Lattice="-3.9827 -0.6337 4.6289 -0.0915 -3.9624 -4.6884 8.9148 -5.2498 5.5987" Properties=species:S:1:pos:R:3 comment="PBE-GGA LaTb3Ho6Tm2, relaxed" formation_enthalpy_0k_ev_per_atom=0.02 total_energy_ev_per_atom=-4.58 pbc="T T T"
Tb 1.1250 -3.8149 5.8711
Tb 2.4203 -4.9230 2.7695
Tb 3.7156 -6.0310 -0.3320
Tm -2.6857 -1.7432 1.5233
Tm -1.3885 -2.8529 -1.5828
Ho 5.6543 -5.0819 4.1770
Ho 0.5612 -1.9202 2.9514
Ho 1.8641 -3.0347 -0.1683
Ho 2.9765 -6.8112 5.7074
Ho -0.8137 -4.7641 1.3621
Ho 4.2793 -7.9258 2.5877
La 0.0000 0.0000 0.0000

12
Lattice="5.6228 0.0000 0.0000 0.0000 9.8024 0.0000 0.0000 0.0000 6.9133" Properties=species:S:1:pos:R:3 comment="PBE-GGA LaTbHo2Tm2, relaxed" formation_enthalpy_0k_ev_per_atom=0.07 total_energy_ev_per_atom=-4.54 pbc="T T T"
La 2.8114 4.9012 3.4567
La 0.0000 0.0000 0.0000
Ho 0.0000 6.5322 5.1969
Ho 0.0000 3.2702 1.7164
Ho 2.8114 1.6310 5.1731
Ho 2.8114 8.1714 1.7402
Tm 2.8114 1.6347 1.7366
Tm 0.0000 6.5359 1.7201
Tm 2.8114 8.1677 5.1768
Tm 0.0000 3.2665 5.1932
Tb 2.8114 4.9012 0.0000
Tb 0.0000 0.0000 3.4567

18
Lattice="5.6295 0.0000 0.0000 -2.8148 9.9423 0.0000 0.0000 0.0000 10.6989" Properties=species:S:1:pos:R:3 comment="PBE-GGA La2TbHo5Tm, relaxed" formation_enthalpy_0k_ev_per_atom=0.14 total_energy_ev_per_atom=-4.51 pbc="T T T"
Ho 2.8148 2.1955 5.5831
Ho 0.0000 7.7468 0.2337
Ho 0.0000 5.5991 3.2701
Ho 0.0000 9.5462 7.9113
Ho 0.0000 0.3298 0.2660
Ho 0.0000 5.9691 7.5574
Ho 2.8148 3.9732 2.2080
Ho 2.8148 0.3961 2.5618
Ho 2.8148 9.6125 5.6154
Ho 2.8148 4.3432 8.6195
Tm 2.8148 1.7403 10.2838
Tm 0.0000 8.2020 4.9343
La 2.8148 7.7118 2.5020
La 2.8148 7.6457 8.7698
La 0.0000 2.2966 3.4203
La 0.0000 2.2305 7.8514
Tb 2.8148 5.9555 5.4678
Tb 0.0000 3.9868 0.1183

18
Lattice="-4.7816 -3.6956 6.5311 -4.1754 -5.1246 -5.9567 9.5905 -0.7268 0.5488" Properties=species:S:1:pos:R:3 comment="PBE-GGA LaTbHo2Tm5, relaxed" formation_enthalpy_0k_ev_per_atom=0.29 total_energy_ev_per_atom=-4.28 pbc="T T T"
Tm 3.2226 -3.8470 3.7668
Tm -5.3612 -8.0157 0.0780
Tm 5.9947 -1.5313 1.0452
Tm 4.3437 -3.7561 -2.5295
Tm 1.5716 -6.0718 0.1921
Tm 0.0000 0.0000 0.0000
Tm -2.5891 -5.6999 -2.6437
Tm -4.4785 -4.4101 0.2872
Tm -3.7102 -5.7909 3.6527
Tm -0.9381 -3.4751 0.9311
La -1.9225 -6.9785 0.7052
La 2.5560 -2.5684 0.4180
Tb 0.1652 -4.4162 3.6835
Tb 0.4683 -5.1307 -2.5604
Ho -2.1560 -2.4013 -1.5717
Ho -5.5573 -5.9788 -2.7558
Ho -3.3998 -2.8414 3.3303
Ho -6.8010 -6.4189 2.1461

4
Lattice="-1.3776 -3.5381 -0.5243 4.6985 -2.2201 2.6362 -5.8089 -0.3549 3.6142" Properties=species:S:1:pos:R:3 comment="PBE-GGA LaTbHoTm, relaxed" formation_enthalpy_0k_ev_per_atom=0.11 total_energy_ev_per_atom=-4.54 pbc="T T T"
Ho -0.5328 -2.8797 4.9642
Tm 0.0934 -4.7812 2.2468
La -1.5352 -1.8872 1.1469
Tb -3.7051 -3.5252 3.6347

12
Lattice="-0.3083 -5.0120 1.9849 8.7319 4.7106 5.9071 -3.6101 2.3251 5.3103" Properties=species:S:1:pos:R:3 comment="PBE-GGA LaTb3HoTm, relaxed" formation_enthalpy_0k_ev_per_atom=0.21 total_energy_ev_per_atom=-4.44 pbc="T T T"
Tb -2.3585 -0.7218 5.1553
Tb 4.4388 -0.4209 6.9712
Tb 7.1719 2.7455 8.0469
Tb 3.1991 1.4366 4.1245
Tb 0.3747 2.4446 6.2311
Tb 1.6144 0.5871 9.0778
Tm -0.0440 1.1628 2.9294
Tm 4.8575 0.8609 10.2728
Ho 3.8095 2.7018 7.4143
Ho 1.0039 -0.6782 5.7879
La 2.8228 3.9196 10.3360
La 1.9906 -1.8959 2.8662

20
Lattice="9.3195 -2.0850 -2.1638 0.7561 8.7509 -2.0474 0.7561 -2.3703 8.6690" Properties=species:S:1:pos:R:3 comment="PBE-GGA La6TbHo2Tm, relaxed" formation_enthalpy_0k_ev_per_atom=0.11 total_energy_ev_per_atom=-4.67 pbc="T T T"
La 8.8125 -0.4502 1.8904
La 5.7912 5.2329 -1.7921
La 6.8958 -2.7564 3.3580
La 6.6790 1.3474 3.7558
La 8.5956 -0.2047 6.0060
La 9.7002 5.2379 -1.7869
La 1.1315 -0.9423 6.2448
La 4.1527 2.9483 0.7020
La 5.0405 -0.9373 6.2499
La 2.0193 4.7458 2.5675
La 2.2361 4.5004 -1.5481
La 3.9359 7.0520 1.0999
Ho 5.4560 -0.0987 0.9481
Ho 10.0355 2.3020 3.4395
Ho 0.7963 1.9937 1.0184
Ho 5.3757 4.3943 3.5097
Tm 3.0860 1.6927 3.7107
Tm 7.7457 2.6029 0.7472
Tb 7.7457 -3.6601 6.7822
Tb 3.0860 7.9557 -2.3243

Which formula does entry 1 have?
LaTbHo2Tl2